one) Density functional theory data (PBE) for La3SnHg2 after structural relaxation. Values from VASP.

Quantum ESPRESSO input file:
```
&SYSTEM
  ibrav = 0, nat = 6, ntyp = 3
/
ATOMIC_SPECIES
La 138.91 La.upf
Hg 200.59 Hg.upf
Sn 118.71 Sn.upf
ATOMIC_POSITIONS crystal
La 0.5000 0.1635 0.3270
La 0.5000 0.8365 0.6730
La 0.5000 0.5000 0.0000
Hg 0.0000 0.6760 0.3521
Hg 0.0000 0.3240 0.6479
Sn 0.0000 0.0000 0.0000
CELL_PARAMETERS angstrom
-3.1335 1.9018 -1.1992
1.8519 -0.2570 -5.2469
-4.9792 -7.2247 1.5530
```

Results
Total magnetization = 0.00 Bohr magnetons per cell

---

two) Density functional theory data (PBE) for La3SnHg2 after structural relaxation. Values from VASP.

Quantum ESPRESSO input file:
```
&SYSTEM
  ibrav = 0, nat = 6, ntyp = 3
/
ATOMIC_SPECIES
Hg 200.59 Hg.upf
La 138.91 La.upf
Sn 118.71 Sn.upf
ATOMIC_POSITIONS crystal
Hg 0.5000 0.5000 0.1590
Hg 0.5000 0.5000 0.8410
La 0.0000 0.0000 0.0000
La 0.0000 0.0000 0.3308
La 0.0000 0.0000 0.6692
Sn 0.5000 0.5000 0.5000
CELL_PARAMETERS angstrom
3.8242 0.0000 0.0000
0.0000 3.8242 0.0000
0.0000 0.0000 12.3353
```

Results
Total magnetization = 0.26 Bohr magnetons per cell

---

Quick one: least stable of them? two)